No. 1
# NbCoSeN2

A geometry-optimized NbCoSeN2 structure (GGA-PBE, the Alexandria database).

```
NbCoSeN2
1.0
3.952 0.000 0.000
0.000 3.952 0.000
0.000 0.000 5.539
Nb Co Se N
1 1 1 2
Cartesian
0.000 0.000 0.000 Nb
1.976 1.976 2.770 Co
0.000 0.000 2.770 Se
0.000 1.976 0.000 N
1.976 0.000 0.000 N
```

Space group: P4/mmm, No. 123
ΔE to the lowest computed polymorph in kJ/mol of formula units: 0
Energy relative to the elements, uncorrected in meV/atom: 639
Magnetization in μB/cell: 3.1



No. 2
# Y6Mn23

A geometry-optimized Y6Mn23 structure (GGA-PBE, the Alexandria database).

```
Y6Mn23
1.0
0.000 6.020 6.020
6.020 0.000 6.020
6.020 6.020 0.000
Y Mn
6 23
Cartesian
6.020 6.020 2.473 Y
6.020 2.473 6.020 Y
9.567 6.020 6.020 Y
2.473 6.020 6.020 Y
6.020 9.567 6.020 Y
6.020 6.020 9.567 Y
3.010 3.010 0.000 Mn
3.010 0.000 3.010 Mn
6.020 3.010 3.010 Mn
7.492 4.548 4.548 Mn
2.137 2.137 2.137 Mn
3.883 3.883 2.137 Mn
3.883 2.137 3.883 Mn
4.548 4.548 4.548 Mn
7.492 7.492 4.548 Mn
7.492 4.548 7.492 Mn
2.137 3.883 3.883 Mn
0.000 3.010 3.010 Mn
3.010 6.020 3.010 Mn
3.010 3.010 6.020 Mn
6.020 6.020 6.020 Mn
9.903 8.158 8.158 Mn
4.548 7.492 4.548 Mn
4.548 4.548 7.492 Mn
7.492 7.492 7.492 Mn
8.158 9.903 8.158 Mn
8.158 8.158 9.903 Mn
9.903 9.903 9.903 Mn
4.548 7.492 7.492 Mn
```

Space group: Fm-3m, No. 225
E_form in kcal/mol of atoms: 0.90
Magnetization in μB/cell: 14.0



No. 3
# Dy6AgAu5

A geometry-optimized Dy6AgAu5 structure (GGA-PBE, the Alexandria database).

```
Dy6AgAu5
1.0
-2.540 3.606 7.669
2.540 -3.606 7.669
2.540 3.606 -7.669
Dy Ag Au
6 1 5
Cartesian
2.540 1.790 -2.580 Dy
0.000 1.771 0.000 Dy
2.540 1.790 2.580 Dy
0.000 1.817 5.089 Dy
0.000 5.442 0.000 Dy
0.000 1.817 10.249 Dy
0.000 0.000 7.669 Ag
2.540 0.000 0.000 Au
0.000 0.000 2.584 Au
2.540 0.000 5.230 Au
0.000 3.606 2.439 Au
0.000 0.000 12.754 Au
```

Space group: Immm, No. 71
E_form in kcal/mol of atoms: -17.93
Magnetization in μB/cell: 0.0



No. 4
# Ac2Nd5Er3

A geometry-optimized Ac2Nd5Er3 structure (GGA-PBE, the Alexandria database).

```
Ac2Nd5Er3
1.0
5.123 -7.487 0.000
5.123 7.487 0.000
-3.436 0.000 9.664
Ac Nd Er
4 10 6
Cartesian
2.553 1.673 0.021 Ac
0.835 -1.673 4.853 Ac
5.976 1.673 4.811 Ac
4.258 -1.673 9.643 Ac
-0.472 1.894 5.764 Nd
2.547 6.970 7.248 Nd
2.547 3.728 7.248 Nd
1.246 -1.894 0.932 Nd
2.547 0.435 7.248 Nd
4.265 -0.435 2.416 Nd
5.565 1.894 8.733 Nd
4.265 -3.728 2.416 Nd
4.265 -6.970 2.416 Nd
7.283 -1.894 3.900 Nd
2.119 1.831 3.937 Er
4.265 3.656 2.416 Er
0.401 -1.831 8.769 Er
6.410 1.831 0.895 Er
2.547 -3.656 7.248 Er
4.692 -1.831 5.727 Er
```

Space group: C2/c, No. 15
E_form in kcal/mol of atoms: 4.34
Magnetization in μB/cell: 0.0